# 1
## ZrSnRh2Pb (PBE)

Data for a geometry-optimized ZrSnRh2Pb structure.

a b c (Å): 4.986 5.228 4.986
angles (deg): 90.00 90.00 90.00
Fractional positions:
Rh 0.500 0.000 0.000
Rh 0.000 0.000 0.500
Sn 0.000 0.500 0.000
Pb 0.000 0.000 0.000
Zr 0.500 0.500 0.500

# 2
## SrRh4Pb4 (PBE)

Data for a geometry-optimized SrRh4Pb4 structure.

a b c (Å): 5.457 9.105 9.105
angles (deg): 90.00 90.00 90.00
Fractional positions:
Pb 0.411 0.352 0.876
Pb 0.911 0.624 0.852
Pb 0.911 0.376 0.148
Pb 0.089 0.148 0.624
Pb 0.589 0.876 0.648
Pb 0.089 0.852 0.376
Pb 0.411 0.648 0.124
Pb 0.589 0.124 0.352
Rh 0.910 0.677 0.157
Rh 0.410 0.343 0.177
Rh 0.090 0.157 0.323
Rh 0.090 0.843 0.677
Rh 0.410 0.657 0.823
Rh 0.590 0.823 0.343
Rh 0.910 0.323 0.843
Rh 0.590 0.177 0.657
Sr 0.500 0.500 0.500
Sr 0.000 0.000 0.000

# 3
## SrRh2Pb3 (PBE)

Data for a geometry-optimized SrRh2Pb3 structure.

a b c (Å): 4.624 9.406 11.553
angles (deg): 110.66 90.00 104.23
Fractional positions:
Rh 0.522 0.044 0.787
Rh 0.633 0.267 0.432
Rh 0.367 0.733 0.568
Rh 0.196 0.392 0.122
Rh 0.478 0.956 0.213
Rh 0.804 0.608 0.878
Pb 0.221 0.442 0.385
Pb 0.624 0.248 0.185
Pb 0.036 0.072 0.340
Pb 0.376 0.752 0.815
Pb 0.500 0.000 0.500
Pb 0.779 0.558 0.615
Pb 0.674 0.349 0.950
Pb 0.964 0.928 0.660
Pb 0.326 0.651 0.050
Sr 0.838 0.676 0.298
Sr 0.162 0.324 0.702
Sr 0.000 0.000 0.000

# 4
## SrRh2Pb4 (PBE)

Data for a geometry-optimized SrRh2Pb4 structure.

a b c (Å): 4.706 7.473 19.601
angles (deg): 90.00 90.00 90.00
Fractional positions:
Pb 0.750 0.991 0.071
Pb 0.250 0.271 0.696
Pb 0.250 0.009 0.929
Pb 0.250 0.491 0.429
Pb 0.750 0.194 0.818
Pb 0.250 0.694 0.682
Pb 0.250 0.361 0.032
Pb 0.750 0.509 0.571
Pb 0.750 0.729 0.304
Pb 0.750 0.771 0.804
Pb 0.750 0.861 0.468
Pb 0.250 0.806 0.182
Pb 0.250 0.139 0.532
Pb 0.750 0.306 0.318
Pb 0.250 0.229 0.196
Pb 0.750 0.639 0.968
Rh 0.250 0.747 0.535
Rh 0.750 0.476 0.713
Rh 0.250 0.976 0.787
Rh 0.250 0.524 0.287
Rh 0.750 0.247 0.965
Rh 0.750 0.253 0.465
Rh 0.250 0.753 0.035
Rh 0.750 0.024 0.213
Sr 0.750 0.511 0.141
Sr 0.250 0.011 0.359
Sr 0.750 0.989 0.641
Sr 0.250 0.489 0.859

# 5
## SrRhPb (PBE)

Data for a geometry-optimized SrRhPb structure.

a b c (Å): 6.770 7.060 7.373
angles (deg): 90.00 106.08 90.00
Fractional positions:
Rh 0.547 0.415 0.185
Rh 0.047 0.085 0.685
Rh 0.453 0.585 0.815
Rh 0.953 0.915 0.315
Pb 0.683 0.138 0.427
Pb 0.817 0.638 0.073
Pb 0.183 0.362 0.927
Pb 0.317 0.862 0.573
Sr 0.789 0.648 0.574
Sr 0.289 0.852 0.074
Sr 0.711 0.148 0.926
Sr 0.211 0.352 0.426

# 6
## SrRhPb (PBE)

Data for a geometry-optimized SrRhPb structure.

a b c (Å): 5.052 5.052 5.052
angles (deg): 60.00 60.00 60.00
Fractional positions:
Pb 0.000 0.000 0.000
Rh 0.500 0.500 0.500
Sr 0.750 0.750 0.750

# 7
## Sr3RhPb (PBE)

Data for a geometry-optimized Sr3RhPb structure.

a b c (Å): 5.739 5.739 5.739
angles (deg): 90.00 90.00 90.00
Fractional positions:
Sr 0.500 0.000 0.000
Sr 0.000 0.000 0.500
Sr 0.000 0.500 0.000
Pb 0.500 0.500 0.500
Rh 0.000 0.000 0.000

# 8
## Sr2RhPb2 (PBE)

Data for a geometry-optimized Sr2RhPb2 structure.

a b c (Å): 4.868 6.371 10.878
angles (deg): 88.18 77.07 67.54
Fractional positions:
Rh 0.623 0.095 0.659
Rh 0.377 0.905 0.341
Pb 0.113 0.215 0.560
Pb 0.887 0.785 0.440
Pb 0.642 0.842 0.874
Pb 0.358 0.158 0.126
Sr 0.072 0.743 0.113
Sr 0.928 0.257 0.887
Sr 0.661 0.344 0.333
Sr 0.339 0.656 0.667

# 9
## Sr2RhPb2 (PBE)

Data for a geometry-optimized Sr2RhPb2 structure.

a b c (Å): 7.556 7.556 5.189
angles (deg): 90.00 90.00 90.00
Fractional positions:
Sr 0.671 0.829 0.500
Sr 0.171 0.671 0.500
Sr 0.329 0.171 0.500
Sr 0.829 0.329 0.500
Pb 0.146 0.354 0.000
Pb 0.646 0.146 0.000
Pb 0.354 0.854 0.000
Pb 0.854 0.646 0.000
Rh 0.000 0.000 0.000
Rh 0.500 0.500 0.000

# 10
## Sr3Rh4Pb13 (PBE)

Data for a geometry-optimized Sr3Rh4Pb13 structure.

a b c (Å): 10.270 10.270 10.270
angles (deg): 90.00 90.00 90.00
Fractional positions:
Sr 0.500 0.000 0.750
Sr 0.000 0.750 0.500
Sr 0.000 0.250 0.500
Sr 0.750 0.500 0.000
Sr 0.250 0.500 0.000
Sr 0.500 0.000 0.250
Pb 0.198 0.500 0.344
Pb 0.302 0.844 0.000
Pb 0.656 0.198 0.500
Pb 0.344 0.198 0.500
Pb 0.500 0.344 0.802
Pb 0.500 0.656 0.802
Pb 0.344 0.802 0.500
Pb 0.656 0.802 0.500
Pb 0.802 0.500 0.344
Pb 0.302 0.156 0.000
Pb 0.000 0.698 0.844
Pb 0.000 0.000 0.000
Pb 0.000 0.698 0.156
Pb 0.802 0.500 0.656
Pb 0.000 0.302 0.844
Pb 0.500 0.344 0.198
Pb 0.844 0.000 0.302
Pb 0.500 0.656 0.198
Pb 0.156 0.000 0.302
Pb 0.698 0.156 0.000
Pb 0.844 0.000 0.698
Pb 0.198 0.500 0.656
Pb 0.000 0.302 0.156
Pb 0.500 0.500 0.500
Pb 0.698 0.844 0.000
Pb 0.156 0.000 0.698
Rh 0.750 0.750 0.750
Rh 0.250 0.250 0.750
Rh 0.750 0.250 0.250
Rh 0.250 0.750 0.250
Rh 0.750 0.750 0.250
Rh 0.250 0.750 0.750
Rh 0.750 0.250 0.750
Rh 0.250 0.250 0.250

# 11
## SrRh3Pb3 (PBE)

Data for a geometry-optimized SrRh3Pb3 structure.

a b c (Å): 7.436 7.436 7.436
angles (deg): 90.00 90.00 90.00
Fractional positions:
Pb 0.750 0.500 0.000
Pb 0.500 0.000 0.750
Pb 0.000 0.250 0.500
Pb 0.500 0.000 0.250
Pb 0.000 0.750 0.500
Pb 0.250 0.500 0.000
Rh 0.250 0.000 0.500
Rh 0.000 0.500 0.250
Rh 0.000 0.500 0.750
Rh 0.500 0.750 0.000
Rh 0.500 0.250 0.000
Rh 0.750 0.000 0.500
Sr 0.000 0.000 0.000
Sr 0.500 0.500 0.500

# 12
## SrRh6Pb12 (PBE)

Data for a geometry-optimized SrRh6Pb12 structure.

a b c (Å): 8.261 8.261 8.261
angles (deg): 106.09 106.09 106.09
Fractional positions:
Pb 0.592 0.847 0.592
Pb 0.877 0.123 0.500
Pb 0.123 0.500 0.877
Pb 0.408 0.408 0.153
Pb 0.153 0.408 0.408
Pb 0.847 0.592 0.592
Pb 0.123 0.877 0.500
Pb 0.408 0.153 0.408
Pb 0.500 0.877 0.123
Pb 0.877 0.500 0.123
Pb 0.500 0.123 0.877
Pb 0.592 0.592 0.847
Sr 0.000 0.000 0.000
Rh 0.718 0.297 0.718
Rh 0.297 0.718 0.718
Rh 0.282 0.703 0.282
Rh 0.703 0.282 0.282
Rh 0.282 0.282 0.703
Rh 0.718 0.718 0.297

# 13
## SrRh3Pb2 (PBE)

Data for a geometry-optimized SrRh3Pb2 structure.

a b c (Å): 4.278 6.003 6.003
angles (deg): 120.00 90.00 90.00
Fractional positions:
Pb 0.509 0.667 0.333
Pb 0.509 0.333 0.667
Rh 0.013 0.000 0.500
Rh 0.013 0.500 0.500
Rh 0.013 0.500 0.000
Sr 0.772 0.000 0.000

# 14
## Sr3Rh2Pb2 (PBE)

Data for a geometry-optimized Sr3Rh2Pb2 structure.

a b c (Å): 6.278 8.593 14.725
angles (deg): 90.00 90.00 90.00
Fractional positions:
Rh 0.630 0.035 0.591
Rh 0.630 0.465 0.091
Rh 0.370 0.535 0.909
Rh 0.370 0.535 0.591
Rh 0.630 0.035 0.909
Rh 0.630 0.465 0.409
Rh 0.370 0.965 0.409
Rh 0.370 0.965 0.091
Pb 0.635 0.750 0.500
Pb 0.137 0.906 0.250
Pb 0.365 0.250 0.000
Pb 0.635 0.750 0.000
Pb 0.137 0.594 0.750
Pb 0.863 0.094 0.750
Pb 0.365 0.250 0.500
Pb 0.863 0.406 0.250
Sr 0.158 0.898 0.907
Sr 0.158 0.602 0.093
Sr 0.374 0.253 0.250
Sr 0.842 0.102 0.407
Sr 0.842 0.102 0.093
Sr 0.842 0.398 0.593
Sr 0.842 0.398 0.907
Sr 0.158 0.898 0.593
Sr 0.626 0.753 0.250
Sr 0.374 0.247 0.750
Sr 0.626 0.747 0.750
Sr 0.158 0.602 0.407

# 15
## SrRhPb (PBE)

Data for a geometry-optimized SrRhPb structure.

a b c (Å): 4.697 4.697 4.349
angles (deg): 90.00 90.00 120.00
Fractional positions:
Rh 0.667 0.333 0.167
Pb 0.000 0.000 0.167
Sr 0.333 0.667 0.667

# 16
## Sr2Rh5Pb4 (PBE)

Data for a geometry-optimized Sr2Rh5Pb4 structure.

a b c (Å): 6.116 6.089 8.713
angles (deg): 79.85 69.45 59.85
Fractional positions:
Sr 0.882 0.000 0.235
Sr 0.118 0.000 0.765
Pb 0.210 0.322 0.258
Pb 0.468 0.322 0.742
Pb 0.790 0.678 0.742
Pb 0.532 0.678 0.258
Rh 0.000 0.500 0.000
Rh 0.750 0.500 0.500
Rh 0.250 0.500 0.500
Rh 0.500 0.000 0.000
Rh 0.500 0.500 0.000

# 17
## SrRhPb (PBE)

Data for a geometry-optimized SrRhPb structure.

a b c (Å): 6.333 6.333 6.333
angles (deg): 146.74 146.76 47.73
Fractional positions:
Sr 0.678 0.678 0.000
Pb 0.964 0.964 0.000
Rh 0.358 0.358 0.000

# 18
## SrRhPb (PBE)

Data for a geometry-optimized SrRhPb structure.

a b c (Å): 4.894 4.894 4.894
angles (deg): 60.00 60.00 60.00
Fractional positions:
Sr 0.000 0.000 0.000
Pb 0.500 0.500 0.500
Rh 0.750 0.750 0.750

# 19
## SrRh6Pb6 (PBE)

Data for a geometry-optimized SrRh6Pb6 structure.

a b c (Å): 5.829 7.393 7.393
angles (deg): 76.13 66.78 66.78
Fractional positions:
Rh 0.500 0.752 0.248
Rh 0.500 0.000 0.500
Rh 0.500 0.500 0.000
Rh 0.000 0.000 0.500
Rh 0.000 0.500 0.000
Rh 0.500 0.248 0.752
Pb 0.000 0.337 0.663
Pb 0.000 0.663 0.337
Pb 0.337 0.663 0.663
Pb 0.330 0.170 0.170
Pb 0.663 0.337 0.337
Pb 0.670 0.830 0.830
Sr 0.000 0.000 0.000

Calculated formation energy (computed, eV per atom): 1.12, -0.06, -0.21, -0.27, -0.39, 0.54, -0.24, -0.46, -0.31, -0.30, 0.13, -0.05, -0.25, -0.48, -0.29, -0.25, -0.28, -0.24, -0.16